# CaEu2Tm

A relaxed CaEu2Tm crystal (GGA-PBE, the Alexandria database).

Cell lengths 4.102, 4.102, 9.104 Å; angles 90.00, 90.00, 90.00 degrees
Fractional positions:
Ca (0.000, 0.000, 0.000)
Eu (0.500, 0.500, 0.273)
Eu (0.500, 0.500, 0.727)
Tm (0.000, 0.000, 0.500)

Output
The energy above the most stable polymorph in this dataset is 22 meV/atom. The calculation puts the volume at 153 Å³ per cell. The value obtained for the theoretical density is 5.56 g cm⁻³.